No. 1
Compound: Ti3Ir2Os
Source: Alexandria
Functional: GGA-PBE
Structure: optimized geometry

Results
Fermi-level density of states = 0.65 states/eV per atom
E_form = -0.77 eV/atom

a b c (Å): 3.0015 3.0015 9.9972
angles (deg): 90.00 90.00 90.00
With the nearest neighbours (Å) after each atom.
Atoms (fractional coordinates):
Ti1 0.0000 0.0000 0.0000  8 Ir 2.74, 4 Ti 3.00
Ti2 0.0000 0.0000 0.3410  4 Os 2.65, 4 Ir 2.71
Ti3 0.0000 0.0000 0.6590  4 Os 2.65, 4 Ir 2.71
Ir1 0.5000 0.5000 0.1732  8 Ti 2.71-2.74, 4 Ir 3.00
Ir2 0.5000 0.5000 0.8268  8 Ti 2.71-2.74, 4 Ir 3.00
Os1 0.5000 0.5000 0.5000  8 Ti 2.65

No. 2
Compound: SrFeOs3
Source: Alexandria
Functional: GGA-PBE
Structure: optimized geometry

Results
Fermi-level density of states = 2.13 states/eV per atom
E_form = 4.10 eV/atom
energy above the most stable polymorph in this dataset = 2790 meV/atom

a b c (Å): 4.7607 4.7607 4.7607
angles (deg): 90.00 90.00 90.00
With the nearest neighbours (Å) after each atom.
Atoms (fractional coordinates):
Sr1 0.0000 0.0000 0.0000  6 Os 2.38
Fe1 0.5000 0.5000 0.5000  12 Os 3.37
Os1 0.0000 0.0000 0.5000  2 Sr 2.38
Os2 0.0000 0.5000 0.0000  2 Sr 2.38
Os3 0.5000 0.0000 0.0000  2 Sr 2.38

No. 3
Compound: ThTaPt
Source: Alexandria
Functional: GGA-PBE
Structure: optimized geometry

Results
Fermi-level density of states = 1.24 states/eV per atom
E_form = -0.53 eV/atom

a b c (Å): 4.0239 4.0239 16.6258
angles (deg): 90.00 90.00 90.00
With the nearest neighbours (Å) after each atom.
Atoms (fractional coordinates):
Th1 0.0000 0.0000 0.1790  5 Pt 3.02-3.36
Th2 0.0000 0.0000 0.8210  5 Pt 3.02-3.36
Th3 0.5000 0.5000 0.3210  5 Pt 3.02-3.36
Th4 0.5000 0.5000 0.6790  5 Pt 3.02-3.36
Ta1 0.0000 0.5000 0.0000  4 Pt 2.82, 4 Ta 2.85
Ta2 0.0000 0.5000 0.5000  4 Pt 2.82, 4 Ta 2.85
Ta3 0.5000 0.0000 0.0000  4 Pt 2.82, 4 Ta 2.85
Ta4 0.5000 0.0000 0.5000  4 Pt 2.82, 4 Ta 2.85
Pt1 0.0000 0.0000 0.3813  4 Ta 2.82, 4 Th 3.02
Pt2 0.0000 0.0000 0.6187  4 Ta 2.82, 4 Th 3.02
Pt3 0.5000 0.5000 0.1187  4 Ta 2.82, 4 Th 3.02
Pt4 0.5000 0.5000 0.8813  4 Ta 2.82, 4 Th 3.02

No. 4
Compound: Zr6Au3N
Source: Alexandria
Functional: GGA-PBE
Structure: optimized geometry

Results
uncorrected formation energy = -5.02 eV per formula unit
Fermi-level density of states = 1.14 states/eV per atom

a b c (Å): 5.9902 5.9902 6.7406
angles (deg): 104.52 104.52 61.18
With the nearest neighbours (Å) after each atom.
Atoms (fractional coordinates):
Zr1 0.1346 0.6508 0.6406  1 N 2.22
Zr2 0.1694 0.1694 0.8296  1 N 2.39
Zr3 0.3492 0.8654 0.3594  1 N 2.22
Zr4 0.6508 0.1346 0.6406  1 N 2.22
Zr5 0.8306 0.8306 0.1704  1 N 2.39
Zr6 0.8654 0.3492 0.3594  1 N 2.22
Au1 0.3313 0.3313 0.2563  1 Au 2.79, 7 Zr 2.87-3.10
Au2 0.5000 0.5000 0.0000  2 Au 2.79, 4 Zr 2.83
Au3 0.6687 0.6687 0.7437  1 Au 2.79, 7 Zr 2.87-3.10
N1 0.0000 0.0000 0.5000  6 Zr 2.22-2.39

No. 5
Compound: RbYSb2Au2
Source: Alexandria
Functional: GGA-PBE
Structure: optimized geometry

Results
uncorrected formation energy = -4.20 eV per formula unit
Fermi-level density of states = 0.30 states/eV per atom

a b c (Å): 4.6742 4.6742 9.5314
angles (deg): 90.00 90.00 120.00
With the nearest neighbours (Å) after each atom.
Atoms (fractional coordinates):
Rb1 0.0000 0.0000 0.0000  6 Sb 3.80, 6 Au 4.17
Y1 0.0000 0.0000 0.5000  6 Au 3.13, 6 Sb 3.42
Sb1 0.3333 0.6667 0.7200  3 Au 2.75
Sb2 0.6667 0.3333 0.2800  3 Au 2.75
Au1 0.3333 0.6667 0.3331  3 Sb 2.75
Au2 0.6667 0.3333 0.6669  3 Sb 2.75

No. 6
Compound: Os2PbI
Source: Alexandria
Functional: GGA-PBE
Structure: optimized geometry

Results
uncorrected formation energy = 6.08 eV per formula unit
Fermi-level density of states = 1.25 states/eV per atom
energy above the most stable polymorph in this dataset = 0 meV/atom

a b c (Å): 6.7432 6.7432 6.7432
angles (deg): 90.00 90.00 90.00
With the nearest neighbours (Å) after each atom.
Atoms (fractional coordinates):
Os1 0.2500 0.2500 0.2500  4 Pb 2.92, 4 I 2.92
Os2 0.2500 0.2500 0.7500  4 Pb 2.92, 4 I 2.92
Os3 0.2500 0.7500 0.2500  4 Pb 2.92, 4 I 2.92
Os4 0.2500 0.7500 0.7500  4 Pb 2.92, 4 I 2.92
Os5 0.7500 0.2500 0.2500  4 Pb 2.92, 4 I 2.92
Os6 0.7500 0.2500 0.7500  4 Pb 2.92, 4 I 2.92
Os7 0.7500 0.7500 0.2500  4 Pb 2.92, 4 I 2.92
Os8 0.7500 0.7500 0.7500  4 Pb 2.92, 4 I 2.92
Pb1 0.0000 0.0000 0.0000  8 Os 2.92
Pb2 0.0000 0.5000 0.5000  8 Os 2.92
Pb3 0.5000 0.0000 0.5000  8 Os 2.92
Pb4 0.5000 0.5000 0.0000  8 Os 2.92
I1 0.0000 0.0000 0.5000  8 Os 2.92
I2 0.0000 0.5000 0.0000  8 Os 2.92
I3 0.5000 0.0000 0.0000  8 Os 2.92
I4 0.5000 0.5000 0.5000  8 Os 2.92